1.
The following is a DFT calculation (GGA-PBE) of crystalline BeTc3Te at its relaxed geometry.

Lattice parameters (Å, degrees): 4.2443 4.2443 4.2443 90.00 90.00 90.00
Last column: nearest neighbours and their distance in Å.
Positions (direct):
Be: 0.0000 0.0000 0.0000  6 Tc 2.12
Tc: 0.0000 0.0000 0.5000  2 Be 2.12
Tc: 0.0000 0.5000 0.0000  2 Be 2.12
Tc: 0.5000 0.0000 0.0000  2 Be 2.12
Te: 0.5000 0.5000 0.5000  12 Tc 3.00

Properties
**Space-group type**: Pm-3m
**Magnetic moment**: 2.2 μB/cell
**Formation energy without anion corrections**: 0.6815 eV per atom
**Uncorrected energy**: -34.558 eV for the cell shown

2.
The following is a DFT calculation (GGA-PBE) of crystalline Be2TcTe at its relaxed geometry.

Lattice parameters (Å, degrees): 4.3290 4.3290 4.3290 60.00 60.00 60.00
Last column: nearest neighbours and their distance in Å.
Positions (direct):
Be: 0.0000 0.0000 0.0000  4 Te 2.65, 4 Be 2.65
Be: 0.2500 0.2500 0.2500  4 Tc 2.65, 4 Be 2.65
Tc: 0.5000 0.5000 0.5000  4 Te 2.65, 4 Be 2.65
Te: 0.7500 0.7500 0.7500  4 Tc 2.65, 4 Be 2.65

Properties
**Space-group type**: F-43m
**Magnetic moment**: 0.0 μB/cell
**Formation energy without anion corrections**: 0.6859 eV per atom
**Uncorrected energy**: -18.216 eV for the cell shown

3.
The following is a DFT calculation (GGA-PBE) of crystalline Be2TcTe at its relaxed geometry.

Lattice parameters (Å, degrees): 8.1166 8.1166 8.1166 21.45 21.45 21.45
Last column: nearest neighbours and their distance in Å.
Positions (direct):
Be: 0.2333 0.2333 0.2333  3 Tc 2.36
Be: 0.7667 0.7667 0.7667  3 Tc 2.36
Tc: 0.5000 0.5000 0.5000  6 Be 2.36
Te: 0.0000 0.0000 0.0000  6 Be 2.95, 6 Te 3.02

Properties
**Space-group type**: R-3m
**Magnetic moment**: 0.0 μB/cell
**Formation energy without anion corrections**: 0.5829 eV per atom
**Uncorrected energy**: -18.628 eV for the cell shown

4.
The following is a DFT calculation (GGA-PBE) of crystalline Be2TcTe at its relaxed geometry.

Lattice parameters (Å, degrees): 4.7470 4.7470 4.7470 139.15 127.95 68.20
Last column: nearest neighbours and their distance in Å.
Positions (direct):
Be: 0.0000 0.0000 0.0000  2 Be 2.31
Be: 0.7950 0.2950 0.5000  2 Be 2.31
Tc: 0.2642 0.7642 0.5000  8 Be 2.66-2.79, 4 Te 2.70-2.75
Te: 0.5352 0.5352 0.0000  8 Be 2.63-2.81, 4 Tc 2.70-2.75

Properties
**Space-group type**: Imm2
**Magnetic moment**: 0.0 μB/cell
**Formation energy without anion corrections**: 0.3622 eV per atom
**Uncorrected energy**: -19.511 eV for the cell shown

5.
The following is a DFT calculation (GGA-PBE) of crystalline Be2TcTe at its relaxed geometry.

Lattice parameters (Å, degrees): 4.0222 4.0222 3.3462 90.00 90.00 93.94
Last column: nearest neighbours and their distance in Å.
Positions (direct):
Be: 0.0000 0.5000 0.0000  4 Te 2.62, 4 Tc 2.62, 2 Be 2.74
Be: 0.5000 0.0000 0.0000  4 Te 2.62, 4 Tc 2.62, 2 Be 2.74
Tc: 0.0000 0.0000 0.5000  8 Be 2.62, 2 Te 2.74
Te: 0.5000 0.5000 0.5000  8 Be 2.62, 2 Tc 2.74

Properties
**Space-group type**: Cmmm
**Magnetic moment**: 0.0 μB/cell
**Formation energy without anion corrections**: 0.4085 eV per atom
**Uncorrected energy**: -19.326 eV for the cell shown

6.
The following is a DFT calculation (GGA-PBE) of crystalline Be2TcTe at its relaxed geometry.

Lattice parameters (Å, degrees): 3.2183 3.2183 5.3154 90.00 90.00 90.00
Last column: nearest neighbours and their distance in Å.
Positions (direct):
Be: 0.0000 0.0000 0.1935  1 Be 2.06
Be: 0.0000 0.0000 0.8065  1 Be 2.06
Tc: 0.5000 0.5000 0.0000  8 Be 2.50, 2 Te 2.66
Te: 0.5000 0.5000 0.5000  2 Tc 2.66, 8 Be 2.80

Properties
**Space-group type**: P4/mmm
**Magnetic moment**: 0.0 μB/cell
**Formation energy without anion corrections**: 0.1779 eV per atom
**Uncorrected energy**: -20.248 eV for the cell shown

7.
The following is a DFT calculation (GGA-PBE) of crystalline BeTc3Te at its relaxed geometry.

Lattice parameters (Å, degrees): 4.8036 4.8036 4.8036 90.00 90.00 90.00
Last column: nearest neighbours and their distance in Å.
Positions (direct):
Be: 0.0000 0.0000 0.0000  12 Tc 3.40
Tc: 0.0000 0.5000 0.5000  2 Te 2.40
Tc: 0.5000 0.0000 0.5000  2 Te 2.40
Tc: 0.5000 0.5000 0.0000  2 Te 2.40
Te: 0.5000 0.5000 0.5000  6 Tc 2.40

Properties
**Space-group type**: Pm-3m
**Magnetic moment**: 2.4 μB/cell
**Formation energy without anion corrections**: 2.0526 eV per atom
**Uncorrected energy**: -27.703 eV for the cell shown

8.
The following is a DFT calculation (GGA-PBE) of crystalline BeTlTc2Te at its relaxed geometry.

Lattice parameters (Å, degrees): 4.5024 4.5024 4.5386 90.00 90.00 90.00
Last column: nearest neighbours and their distance in Å.
Positions (direct):
Be: 0.0000 0.0000 0.0000  4 Tc 2.25, 2 Te 2.27
Tl: 0.5000 0.5000 0.5000  4 Te 3.18, 8 Tc 3.20
Tc: 0.0000 0.5000 0.0000  2 Be 2.25
Tc: 0.5000 0.0000 0.0000  2 Be 2.25
Te: 0.0000 0.0000 0.5000  2 Be 2.27

Properties
**Space-group type**: P4/mmm
**Magnetic moment**: 2.1 μB/cell
**Formation energy without anion corrections**: 1.0140 eV per atom
**Uncorrected energy**: -24.896 eV for the cell shown

9.
The following is a DFT calculation (GGA-PBE) of crystalline ZrBeTc2Te at its relaxed geometry.

Lattice parameters (Å, degrees): 4.2633 4.2633 4.7092 90.00 90.00 90.00
Last column: nearest neighbours and their distance in Å.
Positions (direct):
Zr: 0.0000 0.0000 0.0000  2 Be 2.35
Be: 0.0000 0.0000 0.5000  4 Tc 2.13, 2 Zr 2.35
Tc: 0.0000 0.5000 0.5000  2 Be 2.13
Tc: 0.5000 0.0000 0.5000  2 Be 2.13
Te: 0.5000 0.5000 0.0000  4 Zr 3.01, 8 Tc 3.18

Properties
**Space-group type**: P4/mmm
**Magnetic moment**: 0.0 μB/cell
**Formation energy without anion corrections**: 0.3877 eV per atom
**Uncorrected energy**: -34.209 eV for the cell shown

10.
The following is a DFT calculation (GGA-PBE) of crystalline ThBeTc at its relaxed geometry.

Lattice parameters (Å, degrees): 4.1037 4.1037 3.9108 90.00 90.00 120.00
Last column: nearest neighbours and their distance in Å.
Positions (direct):
Th: 0.0000 0.0000 0.0000  6 Tc 3.07, 6 Be 3.07
Be: 0.3333 0.6667 0.5000  3 Tc 2.37
Tc: 0.6667 0.3333 0.5000  3 Be 2.37

Properties
**Space-group type**: P-6m2
**Magnetic moment**: 0.0 μB/cell
**Formation energy from the elements**: -55 meV/atom
**Uncorrected energy**: -21.677 eV for the cell shown